20
Lattice="9.4506 0.0000 0.0000 0.0000 9.4506 0.0000 0.0000 0.0000 3.2855" Properties=species:S:1:pos:R:3 comment="GGA-PBE Er2Ga2FeCo5, relaxed" spacegroup=P4/mbm e_form_ev_per_atom=-0.149 dos_ef_per_ev_atom=0.87 final_energy_ev_per_atom=-6.07 pbc="T T T"
Er 1.6279 3.0974 0.0000
Er 3.0974 7.8227 0.0000
Er 6.3531 1.6279 0.0000
Er 7.8227 6.3531 0.0000
Ga 1.1935 5.9188 0.0000
Ga 3.5318 1.1935 0.0000
Ga 5.9188 8.2571 0.0000
Ga 8.2571 3.5318 0.0000
Fe 0.0000 0.0000 0.0000
Fe 4.7253 4.7253 0.0000
Co 0.0000 4.7253 1.6427
Co 0.5583 7.6206 1.6427
Co 1.8300 0.5583 1.6427
Co 2.8953 5.2836 1.6427
Co 4.1669 2.8953 1.6427
Co 4.7253 0.0000 1.6427
Co 5.2836 6.5553 1.6427
Co 6.5553 4.1669 1.6427
Co 7.6206 8.8922 1.6427
Co 8.8922 1.8300 1.6427

***

4
Lattice="0.0000 3.1486 3.1486 3.1486 0.0000 3.1486 3.1486 3.1486 0.0000" Properties=species:S:1:pos:R:3 comment="GGA-PBE Ni2PbW, relaxed" spacegroup=F-43m e_form_ev_per_atom=0.718 dos_ef_per_ev_atom=1.17 final_energy_ev_per_atom=-6.34 pbc="T T T"
Ni 0.0000 0.0000 0.0000
Ni 1.5743 1.5743 1.5743
Pb 3.1486 3.1486 3.1486
W 4.7229 4.7229 4.7229

***

8
Lattice="-3.9124 3.9124 2.7752 3.9124 -3.9124 2.7752 3.9124 3.9124 -2.7752" Properties=species:S:1:pos:R:3 comment="GGA-PBE YSi2Se, relaxed" spacegroup=I-42d dos_ef_per_ev_atom=0.71 e_form_raw_mev_per_atom=-73.0 final_energy_ev_per_atom=-5.27 pbc="T T T"
Y 0.0000 0.0000 0.0000
Y 0.0000 3.9124 1.3876
Si 1.9562 -1.7853 2.0814
Si 2.1271 1.9562 0.6938
Si 1.9562 5.6976 -0.6938
Si 1.7853 1.9562 3.4690
Se 3.9124 0.0000 1.3876
Se 0.0000 0.0000 2.7752